First-principles (PBE) data for a relaxed Lu2PuAg crystal, as listed in the Alexandria database.

Structure (CIF):
```
data_Lu2PuAg
_chemical_formula_sum 'Lu2 Pu1 Ag1'
_cell_length_a 3.414
_cell_length_b 3.414
_cell_length_c 10.481
_cell_angle_alpha 80.63
_cell_angle_beta 80.63
_cell_angle_gamma 60.00
_space_group_name_H-M_alt 'P 1'
_space_group_IT_number 1
loop_
_space_group_symop_operation_xyz
'x,y,z'
loop_
_atom_site_label
_atom_site_fract_x
_atom_site_fract_y
_atom_site_fract_z
_atom_site_occupancy
Ag1 0.500 0.500 0.500 1
Lu1 0.757 0.757 0.729 1
Lu2 0.243 0.243 0.271 1
Pu1 0.000 0.000 0.000 1
```

The total magnetization is 6.002 μB/cell. For the total energy, the calculation gives -6.51 eV/atom. As for the calculated formation energy: 0.049 eV per atom.